{"formula": "Rb2UIrO6", "functional": "PBE-GGA", "state": "optimized geometry", "cell": [[-4.4327, -3.7029, 0.6639], [0.9590, -0.1202, 5.7332], [-5.1787, 2.3238, 3.8661]], "species": ["Rb", "Rb", "U", "Ir", "O", "O", "O", "O", "O", "O"], "fractional_positions": [[0.7501, 0.2499, 0.5000], [0.2499, 0.7501, 0.5000], [0.0000, 0.0000, 0.0000], [0.5000, 0.5000, 0.0000], [0.1728, 0.1728, 0.6544], [0.7311, 0.7310, 0.0003], [0.2689, 0.7312, 0.0000], [0.7311, 0.2688, 0.0000], [0.2689, 0.2690, 0.9997], [0.8272, 0.8272, 0.3456]], "spacegroup": "I4/mmm (139)", "energy_ev_per_atom": -7.18, "formation_energy_uncorrected_ev_per_fu": -19.94}